No. 1
First-principles (SCAN) data for Ca2TcRh at its PBEsol-relaxed geometry, as listed in Alexandria via LeMat-Bulk.

abc: 6.034 6.034 6.034
angles: 150.89 130.68 58.30
Sites, in units of the cell vectors:
Ca (0.000, 0.000, 0.000)
Ca (0.707, 0.207, 0.500)
Tc (0.270, 0.770, 0.500)
Rh (0.463, 0.463, 0.000)

Results
ΔE to the lowest computed polymorph	0	kJ/mol of formula units
ΔH_f (0 K)	0.2164	eV per atom
total magnetic moment	0.337	μB per atom

=====

No. 2
First-principles (SCAN) data for ZnPb2SeS at its PBEsol-relaxed geometry, as listed in Alexandria via LeMat-Bulk.

abc: 5.684 5.684 4.603
angles: 90.00 90.00 90.00
Sites, in units of the cell vectors:
Zn (0.000, 0.000, 0.000)
Pb (0.000, 0.500, 0.500)
Pb (0.500, 0.000, 0.500)
Se (0.000, 0.000, 0.500)
S (0.500, 0.500, 0.000)

Results
E_form (uncorrected)	0.337	eV per atom
total magnetic moment	0.000	μB per atom

=====

No. 3
First-principles (SCAN) data for K2HgSbSe at its PBEsol-relaxed geometry, as listed in Alexandria via LeMat-Bulk.

abc: 6.090 6.090 5.456
angles: 90.00 90.00 90.00
Sites, in units of the cell vectors:
K (0.000, 0.500, 0.000)
K (0.500, 0.000, 0.000)
Hg (0.000, 0.000, 0.500)
Sb (0.500, 0.500, 0.500)
Se (0.500, 0.500, 0.000)

Results
E_form (uncorrected)	-0.388	eV per atom
total magnetic moment	0.000	μB per atom

=====

No. 4
First-principles (SCAN) data for TeMoOs3 at its PBEsol-relaxed geometry, as listed in Alexandria via LeMat-Bulk.

abc: 4.698 4.698 4.698
angles: 90.00 90.00 90.00
Sites, in units of the cell vectors:
Te (0.000, 0.000, 0.000)
Mo (0.500, 0.500, 0.500)
Os (0.000, 0.000, 0.500)
Os (0.000, 0.500, 0.000)
Os (0.500, 0.000, 0.000)

Results
E_form (uncorrected)	2.685	eV per atom
total magnetic moment	0.720	μB per atom

=====

No. 5
First-principles (SCAN) data for Co2ReMo at its PBEsol-relaxed geometry, as listed in Alexandria via LeMat-Bulk.

abc: 4.487 4.487 2.597
angles: 90.00 90.00 109.27
Sites, in units of the cell vectors:
Co (0.000, 0.500, 0.000)
Co (0.500, 0.000, 0.000)
Re (0.000, 0.000, 0.500)
Mo (0.500, 0.500, 0.500)

Results
ΔE to the lowest computed polymorph	25	kJ/mol of formula units
ΔH_f (0 K)	0.1537	eV per atom
total magnetic moment	0.138	μB per atom

=====

No. 6
First-principles (SCAN) data for KYFe2 at its PBEsol-relaxed geometry, as listed in Alexandria via LeMat-Bulk.

abc: 4.920 4.920 3.536
angles: 90.00 90.00 90.00
Sites, in units of the cell vectors:
K (0.000, 0.000, 0.000)
Y (0.500, 0.500, 0.000)
Fe (0.000, 0.500, 0.500)
Fe (0.500, 0.000, 0.500)

Results
ΔH_f (0 K)	0.9040	eV per atom
total magnetic moment	1.187	μB per atom